No. 1
# AcPm7Sm12

A geometry-optimized AcPm7Sm12 structure (PBE, Alexandria).

Computed properties:
space group: Im-3, No. 204
volume: 774 Å³/cell
mass density: 6.5 g/cm3
E_form: 0.58 eV per atom

a b c (Å): 10.020 10.020 10.020
angles (deg): 109.47 109.47 109.47
Positions (direct):
Ac1 0.000 0.000 0.000
Pm1 0.000 0.000 0.500
Pm2 0.000 0.500 0.000
Pm3 0.000 0.500 0.500
Pm4 0.500 0.000 0.000
Pm5 0.500 0.000 0.500
Pm6 0.500 0.500 0.000
Pm7 0.500 0.500 0.500
Sm1 0.001 0.255 0.746
Sm2 0.254 0.510 0.255
Sm3 0.254 0.999 0.745
Sm4 0.255 0.254 0.510
Sm5 0.255 0.746 0.001
Sm6 0.490 0.745 0.746
Sm7 0.510 0.255 0.254
Sm8 0.745 0.254 0.999
Sm9 0.745 0.746 0.490
Sm10 0.746 0.001 0.255
Sm11 0.746 0.490 0.745
Sm12 0.999 0.745 0.254



No. 2
# Ac2Pm3Sm6

A geometry-optimized Ac2Pm3Sm6 structure (PBE, Alexandria).

Computed properties:
space group: R-3m, No. 166
volume: 394 Å³/cell
mass density: 7.5 g/cm3
E_form: 0.03 eV per atom

a b c (Å): 33.103 33.103 33.103
angles (deg): 6.43 6.43 6.43
Positions (direct):
Ac1 0.046 0.046 0.046
Ac2 0.954 0.954 0.954
Pm1 0.226 0.226 0.226
Pm2 0.500 0.500 0.500
Pm3 0.774 0.774 0.774
Sm1 0.137 0.137 0.137
Sm2 0.319 0.319 0.319
Sm3 0.411 0.411 0.411
Sm4 0.589 0.589 0.589
Sm5 0.681 0.681 0.681
Sm6 0.863 0.863 0.863



No. 3
# AcPm2Sm12

A geometry-optimized AcPm2Sm12 structure (PBE, Alexandria).

Computed properties:
space group: Cmme, No. 67
volume: 1059 Å³/cell
mass density: 7.3 g/cm3
E_form: 0.16 eV per atom

a b c (Å): 6.816 6.816 25.414
angles (deg): 90.00 90.00 116.28
Positions (direct):
Ac1 0.250 0.750 0.996
Ac2 0.750 0.250 0.004
Pm1 0.250 0.750 0.270
Pm2 0.250 0.750 0.723
Pm3 0.750 0.250 0.277
Pm4 0.750 0.250 0.730
Sm1 0.004 0.504 0.865
Sm2 0.007 0.993 0.084
Sm3 0.019 0.519 0.418
Sm4 0.023 0.977 0.559
Sm5 0.250 0.250 0.204
Sm6 0.250 0.250 0.330
Sm7 0.250 0.250 0.670
Sm8 0.250 0.250 0.796
Sm9 0.477 0.523 0.559
Sm10 0.481 0.981 0.418
Sm11 0.493 0.507 0.084
Sm12 0.496 0.996 0.865
Sm13 0.504 0.004 0.135
Sm14 0.507 0.493 0.916
Sm15 0.519 0.019 0.582
Sm16 0.523 0.477 0.441
Sm17 0.750 0.750 0.204
Sm18 0.750 0.750 0.330
Sm19 0.750 0.750 0.670
Sm20 0.750 0.750 0.796
Sm21 0.977 0.023 0.441
Sm22 0.981 0.481 0.582
Sm23 0.993 0.007 0.916
Sm24 0.996 0.496 0.135



No. 4
# Ac3Pm12Sm

A geometry-optimized Ac3Pm12Sm structure (PBE, Alexandria).

Computed properties:
space group: P4/mmm, No. 123
volume: 577 Å³/cell
mass density: 7.4 g/cm3
E_form: 0.03 eV per atom

a b c (Å): 5.247 5.247 20.961
angles (deg): 90.00 90.00 90.00
Positions (direct):
Ac1 0.000 0.000 0.000
Ac2 0.000 0.000 0.252
Ac3 0.000 0.000 0.748
Pm1 0.000 0.500 0.126
Pm2 0.000 0.500 0.379
Pm3 0.000 0.500 0.621
Pm4 0.000 0.500 0.874
Pm5 0.500 0.000 0.126
Pm6 0.500 0.000 0.379
Pm7 0.500 0.000 0.621
Pm8 0.500 0.000 0.874
Pm9 0.500 0.500 0.000
Pm10 0.500 0.500 0.253
Pm11 0.500 0.500 0.500
Pm12 0.500 0.500 0.747
Sm1 0.000 0.000 0.500



No. 5
# Ac2Pm2Sm7

A geometry-optimized Ac2Pm2Sm7 structure (PBE, Alexandria).

Computed properties:
space group: C2/m, No. 12
volume: 400 Å³/cell
mass density: 7.5 g/cm3
E_form: 0.16 eV per atom

a b c (Å): 8.326 8.326 6.258
angles (deg): 105.30 105.30 92.80
Positions (direct):
Ac1 0.229 0.229 0.086
Ac2 0.771 0.771 0.914
Pm1 0.229 0.771 0.000
Pm2 0.771 0.229 0.000
Sm1 0.000 0.000 0.500
Sm2 0.067 0.593 0.337
Sm3 0.407 0.933 0.663
Sm4 0.413 0.413 0.697
Sm5 0.587 0.587 0.303
Sm6 0.593 0.067 0.337
Sm7 0.933 0.407 0.663



No. 6
# AcPm5Sm3

A geometry-optimized AcPm5Sm3 structure (PBE, Alexandria).

Computed properties:
space group: Imma, No. 74
volume: 642 Å³/cell
mass density: 7.3 g/cm3
E_form: 0.14 eV per atom

a b c (Å): 10.908 10.908 10.908
angles (deg): 140.51 67.34 127.84
Positions (direct):
Ac1 0.346 0.096 0.250
Ac2 0.654 0.904 0.750
Pm1 0.157 0.330 0.340
Pm2 0.157 0.817 0.827
Pm3 0.292 0.542 0.750
Pm4 0.490 0.330 0.673
Pm5 0.490 0.817 0.160
Pm6 0.510 0.183 0.840
Pm7 0.510 0.670 0.327
Pm8 0.708 0.458 0.250
Pm9 0.843 0.183 0.173
Pm10 0.843 0.670 0.660
Sm1 0.000 0.000 0.500
Sm2 0.000 0.500 0.000
Sm3 0.176 0.245 0.931
Sm4 0.185 0.755 0.431
Sm5 0.815 0.245 0.569
Sm6 0.824 0.755 0.069



No. 7
# Ac3PmSm6

A geometry-optimized Ac3PmSm6 structure (PBE, Alexandria).

Computed properties:
space group: R-3, No. 148
volume: 385 Å³/cell
mass density: 7.5 g/cm3
E_form: 0.38 eV per atom

a b c (Å): 7.274 7.274 7.274
angles (deg): 88.90 88.90 88.90
Positions (direct):
Ac1 0.000 0.000 0.000
Ac2 0.259 0.259 0.259
Ac3 0.741 0.741 0.741
Pm1 0.500 0.500 0.500
Sm1 0.095 0.752 0.425
Sm2 0.248 0.575 0.905
Sm3 0.425 0.095 0.752
Sm4 0.575 0.905 0.248
Sm5 0.752 0.425 0.095
Sm6 0.905 0.248 0.575



No. 8
# Ac3PmSm12

A geometry-optimized Ac3PmSm12 structure (PBE, Alexandria).

Computed properties:
space group: P4/mmm, No. 123
volume: 570 Å³/cell
mass density: 7.7 g/cm3
E_form: 0.03 eV per atom

a b c (Å): 5.225 5.225 20.889
angles (deg): 90.00 90.00 90.00
Positions (direct):
Ac1 0.000 0.000 0.000
Ac2 0.000 0.000 0.252
Ac3 0.000 0.000 0.748
Pm1 0.000 0.000 0.500
Sm1 0.000 0.500 0.126
Sm2 0.000 0.500 0.379
Sm3 0.000 0.500 0.621
Sm4 0.000 0.500 0.874
Sm5 0.500 0.000 0.126
Sm6 0.500 0.000 0.379
Sm7 0.500 0.000 0.621
Sm8 0.500 0.000 0.874
Sm9 0.500 0.500 0.000
Sm10 0.500 0.500 0.253
Sm11 0.500 0.500 0.500
Sm12 0.500 0.500 0.747



No. 9
# Ac2PmSm

A geometry-optimized Ac2PmSm structure (PBE, Alexandria).

Computed properties:
space group: Cmmm, No. 65
volume: 313 Å³/cell
mass density: 7.9 g/cm3
E_form: 0.04 eV per atom

a b c (Å): 7.744 10.453 3.872
angles (deg): 90.00 90.00 90.00
Positions (direct):
Ac1 0.250 0.250 0.000
Ac2 0.250 0.750 0.000
Ac3 0.750 0.250 0.000
Ac4 0.750 0.750 0.000
Pm1 0.000 0.000 0.500
Pm2 0.500 0.500 0.500
Sm1 0.000 0.500 0.500
Sm2 0.500 0.000 0.500



No. 10
# Ac2Pm8Sm

A geometry-optimized Ac2Pm8Sm structure (PBE, Alexandria).

Computed properties:
space group: C2/m, No. 12
volume: 412 Å³/cell
mass density: 7.1 g/cm3
E_form: 0.19 eV per atom

a b c (Å): 10.635 10.635 5.749
angles (deg): 93.10 93.10 39.36
Positions (direct):
Ac1 0.219 0.219 0.257
Ac2 0.781 0.781 0.743
Pm1 0.044 0.044 0.235
Pm2 0.112 0.642 0.268
Pm3 0.323 0.323 0.774
Pm4 0.358 0.888 0.732
Pm5 0.642 0.112 0.268
Pm6 0.677 0.677 0.226
Pm7 0.888 0.358 0.732
Pm8 0.956 0.956 0.765
Sm1 0.500 0.500 0.000



No. 11
# AcPm12Sm5

A geometry-optimized AcPm12Sm5 structure (PBE, Alexandria).

Computed properties:
space group: C2/m, No. 12
volume: 629 Å³/cell
mass density: 7.2 g/cm3
E_form: 0.10 eV per atom

a b c (Å): 10.600 10.600 6.082
angles (deg): 90.27 90.27 112.99
Positions (direct):
Ac1 0.000 0.000 0.000
Pm1 0.018 0.351 0.939
Pm2 0.157 0.492 0.442
Pm3 0.182 0.182 0.538
Pm4 0.336 0.336 0.039
Pm5 0.351 0.018 0.939
Pm6 0.492 0.157 0.442
Pm7 0.508 0.843 0.558
Pm8 0.649 0.982 0.061
Pm9 0.664 0.664 0.961
Pm10 0.818 0.818 0.462
Pm11 0.843 0.508 0.558
Pm12 0.982 0.649 0.061
Sm1 0.167 0.833 0.500
Sm2 0.325 0.675 0.000
Sm3 0.500 0.500 0.500
Sm4 0.675 0.325 0.000
Sm5 0.833 0.167 0.500



No. 12
# Ac3PmSm4

A geometry-optimized Ac3PmSm4 structure (PBE, Alexandria).

Computed properties:
space group: Pmn2_1, No. 31
volume: 603 Å³/cell
mass density: 7.9 g/cm3
E_form: 0.04 eV per atom

a b c (Å): 10.754 7.489 7.487
angles (deg): 90.00 90.00 90.00
Positions (direct):
Ac1 0.000 0.001 0.000
Ac2 0.250 0.257 0.250
Ac3 0.250 0.743 0.750
Ac4 0.500 0.999 0.500
Ac5 0.750 0.257 0.250
Ac6 0.750 0.743 0.750
Pm1 0.000 0.500 0.500
Pm2 0.500 0.500 0.000
Sm1 0.000 0.000 0.500
Sm2 0.000 0.500 0.000
Sm3 0.250 0.249 0.750
Sm4 0.250 0.751 0.250
Sm5 0.500 0.000 0.000
Sm6 0.500 0.500 0.500
Sm7 0.750 0.249 0.750
Sm8 0.750 0.751 0.250



Among the records above, which one has the highest E_form?
AcPm7Sm12



E_form of number 8 (Ac3PmSm12)?
0.03 eV per atom



Repeat the second record exactly.
# Ac2Pm3Sm6

A geometry-optimized Ac2Pm3Sm6 structure (PBE, Alexandria).

Computed properties:
space group: R-3m, No. 166
volume: 394 Å³/cell
mass density: 7.5 g/cm3
E_form: 0.03 eV per atom

a b c (Å): 33.103 33.103 33.103
angles (deg): 6.43 6.43 6.43
Positions (direct):
Ac1 0.046 0.046 0.046
Ac2 0.954 0.954 0.954
Pm1 0.226 0.226 0.226
Pm2 0.500 0.500 0.500
Pm3 0.774 0.774 0.774
Sm1 0.137 0.137 0.137
Sm2 0.319 0.319 0.319
Sm3 0.411 0.411 0.411
Sm4 0.589 0.589 0.589
Sm5 0.681 0.681 0.681
Sm6 0.863 0.863 0.863



Among the records above, which one has the highest volume?
AcPm2Sm12